CsAg2Pt2: relaxed, GGA-PBE.

Cell: 8.4062 8.4062 3.0504 Å, 90.00 90.00 90.00°
Last column: nearest neighbours and their distance in Å.
Fractional coordinates of all 10 atoms:
Cs 0.0000 0.0000 0.0000  2 Cs 3.05, 4 Pt 3.37
Cs 0.5000 0.5000 0.0000  2 Cs 3.05, 4 Pt 3.37
Ag 0.1744 0.6744 0.5000  6 Pt 2.92, 2 Ag 3.05
Ag 0.6744 0.8256 0.5000  6 Pt 2.92, 2 Ag 3.05
Ag 0.8256 0.3256 0.5000  6 Pt 2.92, 2 Ag 3.05
Ag 0.3256 0.1744 0.5000  6 Pt 2.92, 2 Ag 3.05
Pt 0.3838 0.8838 0.0000  3 Pt 2.76-3.05, 6 Ag 2.92
Pt 0.8838 0.6162 0.0000  3 Pt 2.76-3.05, 6 Ag 2.92
Pt 0.6162 0.1162 0.0000  3 Pt 2.76-3.05, 6 Ag 2.92
Pt 0.1162 0.3838 0.0000  3 Pt 2.76-3.05, 6 Ag 2.92

Its volume is 215.55 Å³ per cell. As for the formation energy: 0.25 eV per atom. As for the total energy: -3.47 eV/atom. As for the space group: P4/mbm (127).

---

CsRb2AgPt: relaxed, GGA-PBE.

Cell: 6.4059 6.4059 6.6037 Å, 90.00 90.00 90.00°
Last column: nearest neighbours and their distance in Å.
Fractional coordinates of all 5 atoms:
Cs 0.0000 0.0000 0.5000  2 Pt 3.30
Rb 0.0000 0.5000 0.0000  2 Pt 3.20
Rb 0.5000 0.0000 0.0000  2 Pt 3.20
Ag 0.5000 0.5000 0.5000  4 Cs 4.53, 8 Rb 4.60
Pt 0.0000 0.0000 0.0000  4 Rb 3.20, 2 Cs 3.30

Its volume is 270.98 Å³ per cell. As for the formation energy: 0.10 eV per atom. As for the total energy: -2.24 eV/atom. As for the space group: P4/mmm (123).

---

Cs2RbAgPt: relaxed, GGA-PBE.

Cell: 6.6287 6.6287 5.4574 Å, 90.00 90.00 90.00°
Last column: nearest neighbours and their distance in Å.
Fractional coordinates of all 5 atoms:
Cs 0.0000 0.5000 0.0000  2 Pt 3.31
Cs 0.5000 0.0000 0.0000  2 Pt 3.31
Rb 0.5000 0.5000 0.5000  8 Cs 4.29, 4 Ag 4.69
Ag 0.0000 0.0000 0.5000  2 Pt 2.73
Pt 0.0000 0.0000 0.0000  2 Ag 2.73

Its volume is 239.80 Å³ per cell. As for the formation energy: 0.14 eV per atom. As for the total energy: -2.17 eV/atom. As for the space group: P4/mmm (123).